No. 1
Below is a relaxed La3TmF crystal, with properties calculated at the PBE level.

a = 5.248 Å, b = 5.248 Å, c = 5.248 Å
α = 90.00°, β = 90.00°, γ = 90.00°
Element x y z (fractional)
La  0.000  0.000  0.500
La  0.000  0.500  0.000
La  0.500  0.000  0.000
Tm  0.500  0.500  0.500
F  0.000  0.000  0.000

**DFT total energy**: -26.2 eV/cell
**E_form (uncorrected)**: -488 kJ/mol of formula units



No. 2
Below is a relaxed La2TmF8 crystal, with properties calculated at the PBE level.

a = 7.805 Å, b = 7.805 Å, c = 5.314 Å
α = 108.92°, β = 108.92°, γ = 30.20°
Element x y z (fractional)
La  0.177  0.177  0.205
La  0.823  0.823  0.795
Tm  0.500  0.500  0.500
F  0.023  0.023  0.301
F  0.221  0.221  0.789
F  0.358  0.358  0.549
F  0.405  0.405  0.088
F  0.595  0.595  0.912
F  0.642  0.642  0.451
F  0.779  0.779  0.211
F  0.977  0.977  0.699

**DFT total energy**: -72.4 eV/cell
**E_form (uncorrected)**: -4159 kJ/mol of formula units



No. 3
Below is a relaxed La2UF11 crystal, with properties calculated at the PBE level.

a = 8.932 Å, b = 8.932 Å, c = 8.932 Å
α = 122.46°, β = 105.70°, γ = 101.11°
Element x y z (fractional)
La  0.184  0.139  0.322
La  0.316  0.639  0.955
La  0.684  0.361  0.045
La  0.816  0.861  0.678
U  0.250  0.750  0.500
U  0.750  0.250  0.500
F  0.000  0.000  0.000
F  0.012  0.438  0.763
F  0.077  0.824  0.630
F  0.175  0.938  0.426
F  0.194  0.447  0.370
F  0.223  0.875  0.098
F  0.277  0.375  0.652
F  0.306  0.676  0.253
F  0.325  0.751  0.763
F  0.423  0.053  0.747
F  0.488  0.251  0.426
F  0.500  0.500  0.000
F  0.512  0.749  0.574
F  0.577  0.947  0.253
F  0.675  0.249  0.237
F  0.694  0.324  0.747
F  0.723  0.625  0.348
F  0.777  0.125  0.902
F  0.806  0.553  0.630
F  0.825  0.062  0.574
F  0.923  0.176  0.370
F  0.988  0.562  0.237

**DFT total energy**: -190.8 eV/cell
**E_form (uncorrected)**: -5181 kJ/mol of formula units



Number 1: magnetic moment 0.000 Bohr magnetons per cell, V 28.908 Å³/atom. Number 2: magnetic moment 1.000 Bohr magnetons per cell, V 13.941 Å³/atom. Number 3: magnetic moment 2.001 Bohr magnetons per cell, V 18.797 Å³/atom.